# Co5Ge6Pd, optimized geometry, DFT PBE
data_Co5Ge6Pd
_space_group_name_H-M_alt 'C 1 2/m 1'
_space_group_IT_number 12
_space_group_name_Hall '-C 2y'
_cell_length_a 4.987
_cell_length_b 10.438
_cell_length_c 6.727
_cell_angle_alpha 90.00
_cell_angle_beta 107.90
_cell_angle_gamma 90.00
loop_
_atom_site_label
_atom_site_fract_x
_atom_site_fract_y
_atom_site_fract_z
Co1 0.000 0.000 0.000
Co2 0.000 0.190 0.500
Co3 0.000 0.384 0.000
Ge1 0.172 0.000 0.715
Ge2 0.210 0.189 0.205
Pd1 0.000 0.500 0.500
# - Density of states at the Fermi level: 14.4 states/eV per cell
# - V: 333.21 Å³ per cell
# - DFT formation energy: 0.01 eV/atom
# - Spin magnetization: 0.82 μB/cell

# CoGe2Pd2, optimized geometry, DFT PBE
data_CoGe2Pd2
_space_group_name_H-M_alt 'P 4/m b m'
_space_group_IT_number 127
_space_group_name_Hall '-P 4 2ab'
_cell_length_a 6.314
_cell_length_b 6.314
_cell_length_c 3.747
_cell_angle_alpha 90.00
_cell_angle_beta 90.00
_cell_angle_gamma 90.00
loop_
_atom_site_label
_atom_site_fract_x
_atom_site_fract_y
_atom_site_fract_z
Co1 0.000 0.000 0.000
Ge1 0.149 0.351 0.000
Pd1 0.161 0.661 0.500
# - Density of states at the Fermi level: 6.4 states/eV per cell
# - V: 149.38 Å³ per cell
# - DFT formation energy: -0.13 eV/atom
# - Spin magnetization: 1.63 μB/cell

# CoGePd3, optimized geometry, DFT PBE
data_CoGePd3
_space_group_name_H-M_alt 'P m -3 m'
_space_group_IT_number 221
_space_group_name_Hall '-P 4 2 3'
_cell_length_a 4.579
_cell_length_b 4.579
_cell_length_c 4.579
_cell_angle_alpha 90.00
_cell_angle_beta 90.00
_cell_angle_gamma 90.00
loop_
_atom_site_label
_atom_site_fract_x
_atom_site_fract_y
_atom_site_fract_z
Co1 0.000 0.000 0.000
Ge1 0.500 0.500 0.500
Pd1 0.000 0.000 0.500
# - Density of states at the Fermi level: 4.6 states/eV per cell
# - V: 96.03 Å³ per cell
# - DFT formation energy: 0.74 eV/atom
# - Spin magnetization: 3.32 μB/cell

| no. | electronic total energy (eV per atom) |
| --- | --- |
| 1 | -5.694 |
| 2 | -5.470 |
| 3 | -4.724 |